No. 1
The following is a DFT calculation (PBE) of a relaxed U2Tl3CuTe6 crystal.

a b c (Å): 7.5231 7.5231 8.6182
angles (deg): 98.36 98.36 120.19
Element x y z (fractional)
1 U 0.1657 0.8343 0.0000
2 U 0.8343 0.1657 0.0000
3 Tl 0.0000 0.0000 0.5000
4 Tl 0.3277 0.6723 0.5000
5 Tl 0.6723 0.3277 0.5000
6 Cu 0.5000 0.5000 0.0000
7 Te 0.1086 0.4324 0.7946
8 Te 0.2463 0.2463 0.2071
9 Te 0.4324 0.1086 0.7946
10 Te 0.5676 0.8914 0.2054
11 Te 0.7537 0.7537 0.7929
12 Te 0.8914 0.5676 0.2054

## Properties
ΔE_f (raw) = -396 meV/atom
Energy = -4.781 eV per atom
DOS(E_F) = 13.86 states/eV per cell



No. 2
The following is a DFT calculation (PBE) of a relaxed MnCo2GeC crystal.

a b c (Å): 3.7499 3.7499 3.8004
angles (deg): 90.00 90.00 90.00
Element x y z (fractional)
1 Mn 0.0000 0.0000 0.0000
2 Co 0.0000 0.5000 0.5000
3 Co 0.5000 0.0000 0.5000
4 Ge 0.5000 0.5000 0.0000
5 C 0.0000 0.0000 0.5000

## Properties
Energy = -7.445 eV per atom
DOS(E_F) = 2.45 states/eV per cell
Calculated formation energy = 0.00 eV/f.u.



No. 3
The following is a DFT calculation (PBE) of a relaxed Ag4BrF2 crystal.

a b c (Å): 7.1799 7.1799 7.1799
angles (deg): 137.68 137.68 61.39
Element x y z (fractional)
1 Ag 0.0000 0.5000 0.5000
2 Ag 0.2197 0.2197 0.0000
3 Ag 0.5000 0.0000 0.5000
4 Ag 0.7803 0.7803 0.0000
5 Br 0.0000 0.0000 0.0000
6 F 0.3929 0.3929 0.0000
7 F 0.6071 0.6071 0.0000

## Properties
ΔE_f (raw) = -288 meV/atom
Energy = -2.691 eV per atom
DOS(E_F) = 1.80 states/eV per cell



No. 4
The following is a DFT calculation (PBE) of a relaxed TaTeMo2 crystal.

a b c (Å): 5.4559 5.4559 5.4559
angles (deg): 144.14 132.28 61.11
Element x y z (fractional)
1 Ta 0.0000 0.0000 0.0000
2 Te 0.7426 0.2426 0.5000
3 Mo 0.2467 0.7467 0.5000
4 Mo 0.4941 0.4941 0.0000

## Properties
ΔE_f (raw) = 200 meV/atom
Energy = -8.965 eV per atom
DOS(E_F) = 2.15 states/eV per cell



No. 5
The following is a DFT calculation (PBE) of a relaxed Li4GaBi3S8 crystal.

a b c (Å): 7.7197 7.7197 7.7442
angles (deg): 119.60 119.60 60.61
Element x y z (fractional)
1 Li 0.0000 0.0000 0.0000
2 Li 0.0000 0.5000 0.5000
3 Li 0.5000 0.0000 0.5000
4 Li 0.5000 0.5000 0.0000
5 Ga 0.0000 0.0000 0.5000
6 Bi 0.0000 0.5000 0.0000
7 Bi 0.5000 0.0000 0.0000
8 Bi 0.5000 0.5000 0.5000
9 S 0.2179 0.7681 0.7304
10 S 0.2319 0.7821 0.2696
11 S 0.2433 0.2433 0.2552
12 S 0.2436 0.2436 0.7317
13 S 0.7564 0.7564 0.2683
14 S 0.7567 0.7567 0.7448
15 S 0.7681 0.2179 0.7304
16 S 0.7821 0.2319 0.2696

## Properties
ΔE_f (raw) = -737 meV/atom
Energy = -4.196 eV per atom



No. 6
The following is a DFT calculation (PBE) of a relaxed KCo2Ru crystal.

a b c (Å): 2.9698 2.9698 7.9941
angles (deg): 90.00 90.00 90.00
Element x y z (fractional)
1 K 0.0000 0.0000 0.0000
2 Co 0.0000 0.0000 0.5225
3 Co 0.5000 0.5000 0.6575
4 Ru 0.5000 0.5000 0.3442

## Properties
Energy = -5.389 eV per atom
DOS(E_F) = 4.32 states/eV per cell
Calculated formation energy = 3.03 eV/f.u.
E above lowest polymorph = 0.068 eV per atom



No. 7
The following is a DFT calculation (PBE) of a relaxed SrAlTl crystal.

a b c (Å): 6.5690 6.5690 6.5690
angles (deg): 146.09 146.09 48.71
Element x y z (fractional)
1 Sr 0.0000 0.0000 0.0000
2 Al 0.3143 0.3143 0.0000
3 Tl 0.6951 0.6951 0.0000

## Properties
Energy = -2.693 eV per atom
DOS(E_F) = 1.98 states/eV per cell
Calculated formation energy = -0.29 eV/f.u.



No. 8
The following is a DFT calculation (PBE) of a relaxed Sr2SbRu crystal.

a b c (Å): 3.6582 4.3836 6.8103
angles (deg): 90.00 90.00 90.00
Element x y z (fractional)
1 Sr 0.0000 0.0000 0.2369
2 Sr 0.0000 0.0000 0.7631
3 Sb 0.5000 0.5000 0.5000
4 Ru 0.5000 0.5000 0.0000

## Properties
ΔE_f (raw) = 27 meV/atom
Energy = -4.164 eV per atom
DOS(E_F) = 4.70 states/eV per cell